1.
The following is a DFT calculation (PBE) of an optimized crystal structure of Rb5TlI5.

abc: 7.3950 9.0845 10.4641
angles: 106.92 90.00 114.02
Fractional positions:
I 0.8360 0.6720 0.6734
I 0.5000 0.0000 0.0000
I 0.1623 0.3246 0.8378
I 0.1640 0.3280 0.3266
I 0.8377 0.6754 0.1622
Rb 0.0000 0.0000 0.5000
Rb 0.6640 0.3281 0.8308
Rb 0.6677 0.3355 0.3320
Rb 0.3360 0.6719 0.1692
Rb 0.3323 0.6645 0.6680
Tl 0.0000 0.0000 0.0000

Properties
Its uncorrected formation energy is -113.2 kJ per mole of atoms. Its symmetry is No. 12. For the raw total energy, the calculation gives -27.86 eV/cell.

2.
The following is a DFT calculation (PBE) of an optimized crystal structure of Tb4CdI5.

abc: 4.1692 9.1274 9.8352
angles: 101.81 102.24 90.00
Fractional positions:
I 0.8322 0.6639 0.6644
I 0.8267 0.1736 0.6534
I 0.1733 0.8264 0.3466
I 0.5000 0.5000 0.0000
I 0.1678 0.3362 0.3356
Tb 0.0011 0.2289 0.0021
Tb 0.6548 0.0762 0.3096
Tb 0.9989 0.7711 0.9979
Tb 0.3452 0.9238 0.6904
Cd 0.5000 0.0000 0.0000

Properties
Its uncorrected formation energy is -90.6 kJ per mole of atoms. Its symmetry is No. 12. For the raw total energy, the calculation gives -36.57 eV/cell.

3.
The following is a DFT calculation (PBE) of an optimized crystal structure of SrLuPdAu.

abc: 5.1181 5.1181 5.1181
angles: 60.00 60.00 60.00
Fractional positions:
Sr 0.2500 0.2500 0.2500
Au 0.0000 0.0000 0.0000
Lu 0.7500 0.7500 0.7500
Pd 0.5000 0.5000 0.5000

Properties
The calculated formation energy is -0.67 eV/atom. Its symmetry is No. 216. For the raw total energy, the calculation gives -17.34 eV/cell.

4.
The following is a DFT calculation (PBE) of an optimized crystal structure of Zn2BiSbO6.

abc: 8.1944 5.5285 5.6083
angles: 87.93 90.00 90.00
Fractional positions:
Zn 0.7500 0.0101 0.0341
Zn 0.2500 0.4774 0.5052
Zn 0.2500 0.9899 0.9659
Zn 0.7500 0.5226 0.4948
Bi 0.5000 0.0000 0.5000
Bi 0.0000 0.0000 0.5000
O 0.0728 0.1812 0.1265
O 0.4280 0.6390 0.3077
O 0.9280 0.3610 0.6923
O 0.7500 0.3873 0.1373
O 0.2500 0.6127 0.8627
O 0.5728 0.8188 0.8735
O 0.4272 0.1812 0.1265
O 0.0720 0.6390 0.3077
O 0.7500 0.8663 0.3694
O 0.2500 0.1337 0.6306
O 0.5720 0.3610 0.6923
O 0.9272 0.8188 0.8735
Sb 0.0000 0.5000 0.0000
Sb 0.5000 0.5000 0.0000

Properties
Its uncorrected formation energy is -121.6 kJ per mole of atoms. Its symmetry is No. 11. For the raw total energy, the calculation gives -105.80 eV/cell.

no.,volume (Å³/f.u.)
1,609
2,358
3,95
4,127